(1)
The following is a PBE calculation of crystalline RbHoAg2Cl8 at its relaxed geometry, from Alexandria.

The structure in POSCAR format:
```
RbHoAg2Cl8
1.0
-3.3679 3.3679 7.4422
3.3679 -3.3679 7.4422
3.3679 3.3679 -7.4422
Rb Ho Ag Cl
1 1 2 8
Direct
0.0000 0.0000 0.0000
0.2500 0.7500 0.5000
0.5000 0.5000 0.0000
0.7500 0.2500 0.5000
0.2766 0.6930 0.1607
0.3070 0.4677 0.5836
0.3971 0.0152 0.0283
0.5323 0.1159 0.8393
0.6312 0.6029 0.6181
0.8841 0.7234 0.4164
0.9848 0.0130 0.3819
0.9870 0.3688 0.9717
```

Space group ... I-4 (82)
Crystal system ... tetragonal



(2)
The following is a PBE calculation of crystalline Hg4Pt at its relaxed geometry, from Alexandria.

The structure in POSCAR format:
```
Hg4Pt
1.0
1.4778 -6.3903 0.0000
1.4778 6.3903 0.0000
-1.3221 0.0000 6.2756
Hg Pt
4 1
Direct
0.0107 0.7333 0.7254
0.2667 0.9893 0.2746
0.7333 0.0107 0.7254
0.9893 0.2667 0.2746
0.5000 0.5000 0.0000
```

Space group ... C2/m (12)
Crystal system ... monoclinic
Energy of formation ... 0.26 eV/f.u.
Offset from the most stable computed form ... 0.157 eV per atom



(3)
The following is a PBE calculation of crystalline V2GaSi at its relaxed geometry, from Alexandria.

The structure in POSCAR format:
```
V2GaSi
1.0
3.8483 -5.2917 0.0000
3.8483 5.2917 0.0000
-0.0052 0.0000 2.6328
V Ga Si
4 2 2
Direct
0.0000 0.5000 0.0000
0.2333 0.2333 0.0066
0.5000 0.0000 0.0000
0.7667 0.7667 0.9934
0.3780 0.6220 0.5000
0.6220 0.3780 0.5000
0.1289 0.8711 0.5000
0.8711 0.1289 0.5000
```

Space group ... C2/m (12)
Crystal system ... monoclinic



(4)
The following is a PBE calculation of crystalline Hg2H4SN at its relaxed geometry, from Alexandria.

The structure in POSCAR format:
```
Hg2H4SN
1.0
4.4005 -3.9241 0.0000
4.4005 3.9241 0.0000
-3.7552 0.0000 6.1705
Hg H S N
4 8 2 2
Direct
0.0000 0.0000 0.0000
0.0000 0.0000 0.5000
0.0000 0.5000 0.0000
0.5000 0.0000 0.5000
0.2889 0.4972 0.4920
0.3644 0.4544 0.8474
0.4544 0.3644 0.3474
0.4972 0.2889 0.9920
0.5028 0.7111 0.0080
0.5456 0.6356 0.6526
0.6356 0.5456 0.1526
0.7111 0.5028 0.5080
0.0000 0.5000 0.5000
0.5000 0.0000 0.0000
0.5000 0.5000 0.0000
0.5000 0.5000 0.5000
```

Space group ... C2/c (15)
Crystal system ... monoclinic



(5)
The following is a PBE calculation of crystalline CaCeSi3 at its relaxed geometry, from Alexandria.

The structure in POSCAR format:
```
CaCeSi3
1.0
2.1532 -12.4654 0.0000
2.1532 12.4654 0.0000
0.0000 0.0000 3.9537
Ca Ce Si
2 2 6
Direct
0.2025 0.7975 0.7500
0.7975 0.2025 0.2500
0.0695 0.9305 0.2500
0.9305 0.0695 0.7500
0.3284 0.6716 0.7500
0.3827 0.6173 0.2500
0.4760 0.5240 0.2500
0.5240 0.4760 0.7500
0.6173 0.3827 0.7500
0.6716 0.3284 0.2500
```

Space group ... Cmcm (63)
Crystal system ... orthorhombic



(6)
The following is a PBE calculation of crystalline BaAgH2 at its relaxed geometry, from Alexandria.

The structure in POSCAR format:
```
BaAgH2
1.0
0.0000 3.3134 3.3134
3.3134 0.0000 3.3134
3.3134 3.3134 0.0000
Ba Ag H
1 1 2
Direct
0.0000 0.0000 0.0000
0.5000 0.5000 0.5000
0.2500 0.2500 0.2500
0.7500 0.7500 0.7500
```

Space group ... Fm-3m (225)
Crystal system ... cubic
Offset from the most stable computed form ... 0.042 eV per atom



(7)
The following is a PBE calculation of crystalline Pr4ThSb5 at its relaxed geometry, from Alexandria.

The structure in POSCAR format:
```
Pr4ThSb5
1.0
-5.0845 5.0845 3.2159
5.0845 -5.0845 3.2159
5.0845 5.0845 -3.2159
Pr Th Sb
4 1 5
Direct
0.0991 0.6987 0.7978
0.3013 0.0991 0.4004
0.6987 0.9009 0.5996
0.9009 0.3013 0.2022
0.5000 0.5000 0.0000
0.0000 0.0000 0.0000
0.2031 0.4009 0.6040
0.4009 0.7969 0.1978
0.5991 0.2031 0.8022
0.7969 0.5991 0.3960
```

Space group ... I4/m (87)
Crystal system ... tetragonal
Offset from the most stable computed form ... 0.000 eV per atom



(8)
The following is a PBE calculation of crystalline RbMnTlGa2 at its relaxed geometry, from Alexandria.

The structure in POSCAR format:
```
RbMnTlGa2
1.0
4.8703 0.0000 0.0000
0.0000 4.8703 0.0000
0.0000 0.0000 5.2047
Rb Mn Tl Ga
1 1 1 2
Direct
0.0000 0.0000 0.0000
0.5000 0.5000 0.5000
0.5000 0.5000 0.0000
0.0000 0.5000 0.5000
0.5000 0.0000 0.5000
```

Space group ... P4/mmm (123)
Crystal system ... tetragonal
Energy of formation ... 0.34 eV/f.u.



Per-record calculated total energy, eV per atom: -3.32; -1.40; -6.88; -3.09; -5.44; -2.91; -5.87; -3.64